Entry 1:
ZrBiPb2 | PBE | optimized geometry

Results
density of states at the Fermi level: 2.89 states/eV/f.u.
E above lowest polymorph: 0.0 meV/atom

Cell: 4.449 4.449 12.154 Å, 79.45 79.45 90.00°
Sites, in units of the cell vectors:
Pb 0.133 0.625 0.250
Pb 0.375 0.383 0.750
Pb 0.617 0.125 0.250
Pb 0.875 0.867 0.750
Bi 0.750 0.250 0.500
Bi 0.000 0.000 0.000
Zr 0.500 0.500 0.000
Zr 0.250 0.750 0.500

***

Entry 2:
Zr2Bi3Pb2 | PBE | optimized geometry

Results
density of states at the Fermi level: 4.73 states/eV/f.u.

Cell: 5.402 5.407 8.215 Å, 70.74 70.80 60.03°
Sites, in units of the cell vectors:
Bi 0.000 0.000 0.000
Bi 0.585 0.585 0.245
Bi 0.415 0.415 0.755
Pb 0.858 0.858 0.426
Pb 0.142 0.142 0.574
Zr 0.284 0.283 0.149
Zr 0.716 0.717 0.851

***

Entry 3:
Zr7Bi2Pb2 | PBE | optimized geometry

Results
density of states at the Fermi level: 12.20 states/eV/f.u.

Cell: 7.305 5.572 7.305 Å, 77.86 101.37 102.14°
Each line ends with the local moment (μB).
Sites, in units of the cell vectors:
Zr 0.000 0.000 0.000  0.08
Zr 0.944 0.735 0.395  0.27
Zr 0.056 0.265 0.605  0.27
Zr 0.395 0.265 0.944  0.27
Zr 0.503 0.743 0.497  0.01
Zr 0.497 0.257 0.503  0.01
Zr 0.605 0.735 0.056  0.27
Bi 0.251 0.811 0.749  -0.01
Bi 0.749 0.189 0.251  -0.01
Pb 0.201 0.500 0.201  0.00
Pb 0.799 0.500 0.799  0.00

***

Entry 4:
ZrBiPb3 | PBE | optimized geometry

Results
density of states at the Fermi level: 5.96 states/eV/f.u.
E above lowest polymorph: 675.8 meV/atom

Cell: 5.896 5.896 5.896 Å, 90.00 90.00 90.00°
Each line ends with the local moment (μB).
Sites, in units of the cell vectors:
Pb 0.000 0.500 0.000  -0.01
Pb 0.000 0.000 0.500  0.01
Pb 0.500 0.000 0.000  -0.03
Zr 0.500 0.500 0.500  1.26
Bi 0.000 0.000 0.000  0.01

***

Entry 5:
Zr4Bi2Pb | PBE | optimized geometry

Results
density of states at the Fermi level: 5.83 states/eV/f.u.
E above lowest polymorph: 119.4 meV/atom

Cell: 7.866 7.866 7.867 Å, 108.50 108.55 111.38°
Sites, in units of the cell vectors:
Zr 0.865 0.258 0.233
Zr 0.025 0.632 0.767
Zr 0.508 0.775 0.893
Zr 0.882 0.614 0.107
Zr 0.385 0.118 0.893
Zr 0.742 0.135 0.767
Zr 0.225 0.492 0.107
Zr 0.368 0.975 0.233
Pb 0.000 0.000 0.000
Pb 0.250 0.750 0.500
Bi 0.625 0.453 0.328
Bi 0.125 0.297 0.672
Bi 0.703 0.875 0.328
Bi 0.547 0.375 0.672

***

Entry 6:
ZrBiPb2 | PBE | optimized geometry

Results
density of states at the Fermi level: 4.39 states/eV/f.u.
E above lowest polymorph: 200.6 meV/atom

Cell: 3.375 3.375 12.298 Å, 82.11 82.11 60.00°
Sites, in units of the cell vectors:
Bi 0.500 0.500 0.500
Pb 0.083 0.083 0.750
Pb 0.917 0.917 0.250
Zr 0.000 0.000 0.000

***

Entry 7:
BiPd2 | PBE | optimized geometry

Results
density of states at the Fermi level: 2.17 states/eV/f.u.

Cell: 3.957 4.342 7.042 Å, 71.85 90.00 90.00°
Sites, in units of the cell vectors:
Pd 0.000 0.000 0.000
Pd 0.500 0.500 0.000
Pd 0.500 0.158 0.678
Pd 0.500 0.842 0.322
Bi 0.000 0.650 0.695
Bi 0.000 0.350 0.305

***

Entry 8:
Bi3Pd5 | PBE | optimized geometry

Results
density of states at the Fermi level: 4.42 states/eV/f.u.
E above lowest polymorph: 0.0 meV/atom

Cell: 5.857 5.857 9.570 Å, 90.00 90.00 105.42°
Sites, in units of the cell vectors:
Pd 0.495 0.054 0.750
Pd 0.505 0.946 0.250
Pd 0.301 0.301 0.537
Pd 0.699 0.699 0.463
Pd 0.991 0.991 0.750
Pd 0.301 0.301 0.963
Pd 0.699 0.699 0.037
Pd 0.946 0.505 0.250
Pd 0.054 0.495 0.750
Pd 0.009 0.009 0.250
Bi 0.589 0.589 0.750
Bi 0.798 0.202 0.000
Bi 0.411 0.411 0.250
Bi 0.202 0.798 0.500
Bi 0.798 0.202 0.500
Bi 0.202 0.798 0.000

***

Number 1: ΔE_f 0.13 eV/atom. Number 2: ΔE_f -0.08 eV/atom. Number 3: ΔE_f 0.10 eV/atom. Number 4: ΔE_f 1.13 eV/atom. Number 5: ΔE_f -0.16 eV/atom. Number 6: ΔE_f 0.33 eV/atom. Number 7: ΔE_f -0.20 eV/atom. Number 8: ΔE_f -0.25 eV/atom.